(1)
VASP calculation (PBE) on an optimized crystal structure of CaSnS3.

Cell and atoms, written as POSCAR:
```
CaSnS3
1.0
-6.379 0.069 -2.033
4.471 -3.874 -3.135
-1.323 -4.754 3.988
Ca Sn S
2 2 6
Direct
0.333 0.667 0.750
0.667 0.333 0.250
0.000 0.000 0.000
0.000 0.000 0.500
0.827 0.655 0.750
0.345 0.173 0.750
0.827 0.173 0.750
0.173 0.345 0.250
0.655 0.827 0.250
0.173 0.827 0.250
```

Total DFT energy (no corrections), eV for the cell shown: -43.809
ΔE to the lowest computed polymorph, meV/atom: 322.2
Size of the total moment, μB per formula unit: 0.0

=====

(2)
VASP calculation (PBE) on an optimized crystal structure of CaSnS3.

Cell and atoms, written as POSCAR:
```
CaSnS3
1.0
2.003 -7.532 0.000
2.003 7.532 0.000
0.000 0.000 7.852
Ca Sn S
2 2 6
Direct
0.299 0.701 0.750
0.701 0.299 0.250
0.000 0.000 0.500
0.000 0.000 0.000
0.491 0.509 0.750
0.509 0.491 0.250
0.161 0.839 0.496
0.839 0.161 0.504
0.161 0.839 0.004
0.839 0.161 0.996
```

Total DFT energy (no corrections), eV for the cell shown: -46.155
ΔE to the lowest computed polymorph, meV/atom: 87.6
Size of the total moment, μB per formula unit: 0.0

=====

(3)
VASP calculation (PBE) on an optimized crystal structure of CaSnS3.

Cell and atoms, written as POSCAR:
```
CaSnS3
1.0
6.550 0.000 0.000
0.000 8.106 0.000
0.000 0.000 10.376
Ca Sn S
4 4 12
Direct
0.000 0.500 0.000
0.500 0.000 0.500
0.500 0.000 0.000
0.000 0.500 0.500
0.354 0.656 0.750
0.146 0.156 0.250
0.646 0.344 0.250
0.854 0.844 0.750
0.860 0.179 0.084
0.640 0.679 0.584
0.640 0.679 0.916
0.140 0.821 0.584
0.140 0.821 0.916
0.360 0.321 0.416
0.360 0.321 0.084
0.860 0.179 0.416
0.653 0.090 0.750
0.847 0.590 0.250
0.347 0.910 0.250
0.153 0.410 0.750
```

Total DFT energy (no corrections), eV for the cell shown: -93.151
ΔE to the lowest computed polymorph, meV/atom: 45.6
Size of the total moment, μB per formula unit: 0.0

=====

(4)
VASP calculation (PBE) on an optimized crystal structure of CaSnS3.

Cell and atoms, written as POSCAR:
```
CaSnS3
1.0
-2.602 -5.001 -4.138
7.378 -4.816 1.181
-2.706 -6.955 10.106
Ca Sn S
6 6 18
Direct
0.727 0.556 0.405
0.227 0.444 0.595
0.839 0.149 0.846
0.339 0.851 0.154
0.308 0.363 0.925
0.808 0.637 0.075
0.774 0.685 0.699
0.274 0.315 0.301
0.757 0.082 0.465
0.257 0.918 0.535
0.861 0.126 0.196
0.361 0.874 0.804
0.749 0.971 0.688
0.249 0.029 0.312
0.493 0.283 0.473
0.993 0.717 0.527
0.006 0.319 0.439
0.506 0.681 0.561
0.513 0.315 0.749
0.013 0.685 0.251
0.983 0.459 0.778
0.483 0.541 0.222
0.585 0.624 0.887
0.085 0.376 0.113
0.573 0.129 0.040
0.073 0.871 0.960
0.083 0.070 0.029
0.583 0.930 0.971
0.770 0.824 0.238
0.270 0.176 0.762
```

Total DFT energy (no corrections), eV for the cell shown: -137.618
ΔE to the lowest computed polymorph, meV/atom: 115.9
Size of the total moment, μB per formula unit: 0.0

=====

(5)
VASP calculation (PBE) on an optimized crystal structure of Ca3Sn2S7.

Cell and atoms, written as POSCAR:
```
Ca3Sn2S7
1.0
-2.503 2.503 11.714
2.503 -2.503 11.714
2.503 2.503 -11.714
Ca Sn S
3 2 7
Direct
0.500 0.500 0.000
0.329 0.329 0.000
0.671 0.671 0.000
0.112 0.112 0.000
0.888 0.888 0.000
0.000 0.000 0.000
0.590 0.090 0.500
0.090 0.590 0.500
0.410 0.910 0.500
0.910 0.410 0.500
0.214 0.214 0.000
0.786 0.786 0.000
```

Total DFT energy (no corrections), eV for the cell shown: -53.879
ΔE to the lowest computed polymorph, meV/atom: 272.0
Size of the total moment, μB per formula unit: 0.0

=====

(6)
VASP calculation (PBE) on an optimized crystal structure of CaSnS.

Cell and atoms, written as POSCAR:
```
CaSnS
1.0
-2.975 3.981 0.878
-2.953 1.802 -3.674
-7.558 -2.730 1.271
Ca S Sn
2 2 2
Direct
0.601 0.601 0.196
0.399 0.399 0.804
0.277 0.277 0.170
0.723 0.723 0.830
0.841 0.841 0.477
0.159 0.159 0.523
```

Total DFT energy (no corrections), eV for the cell shown: -26.711
Size of the total moment, μB per formula unit: 0.0

=====

> Which of these has the lowest total DFT energy (no corrections)?

number 4